# 1
Density functional theory data (PBE) for crystalline K2CeThS4 at its relaxed geometry.

Cell lengths 4.162, 7.211, 7.814 Å; angles 107.88, 90.00, 90.00 degrees
Last column: magnetic moment on the atom in μB.
Fractional positions:
K (0.500, 0.000, 0.500)  0.00
Th (0.000, 0.000, 0.000)  0.20
S (0.000, 0.258, 0.790)  -0.01
S (0.500, 0.768, 0.790)  -0.01
K (0.000, 0.500, 0.500)  0.00
S (0.500, 0.232, 0.210)  -0.01
Ce (0.500, 0.500, 0.000)  1.07
S (0.000, 0.742, 0.210)  -0.01

Summary:
Fermi-level density of states   8.9 states/eV/f.u.
Total magnetic moment   1.7 μB/f.u.
E_tot   -5.746 eV per atom

# 2
Density functional theory data (PBE) for crystalline HoMnAl at its relaxed geometry.

Cell lengths 3.412, 4.581, 4.581 Å; angles 120.00, 90.00, 90.00 degrees
Last column: magnetic moment on the atom in μB.
Fractional positions:
Ho (0.667, 0.333, 0.667)  -0.19
Al (0.167, 0.667, 0.333)  -0.02
Mn (0.167, 0.000, 0.000)  3.52

Summary:
Fermi-level density of states   1.6 states/eV/f.u.
Total magnetic moment   3.5 μB/f.u.
E_tot   -5.957 eV per atom

# 3
Density functional theory data (PBE) for crystalline Pu2AlIn at its relaxed geometry.

Cell lengths 5.215, 5.215, 5.215 Å; angles 60.00, 60.00, 60.00 degrees
Last column: magnetic moment on the atom in μB.
Fractional positions:
Al (0.000, 0.000, 0.000)  -0.02
In (0.500, 0.500, 0.500)  -0.01
Pu (0.250, 0.250, 0.250)  5.40
Pu (0.750, 0.750, 0.750)  5.40

Summary:
Fermi-level density of states   14.4 states/eV/f.u.
Total magnetic moment   11.5 μB/f.u.
ΔE to the lowest computed polymorph   117 meV/atom
E_tot   -8.826 eV per atom

Among the records above, which one has the highest Fermi-level density of states?
Pu2AlIn

The highest E_tot belongs to which entry?
K2CeThS4